# MnReSb2I

A relaxed MnReSb2I crystal (GGA-PBE, Alexandria).

- Space-group type: P4/mmm, No. 123
- Raw formation energy: 0.97 eV/atom
- Energy above the most stable polymorph in this dataset: 0 meV per atom

Cell lengths 5.0915, 5.0915, 5.9147 Å; angles 90.00, 90.00, 90.00 degrees
Last column: magnetic moment on the atom in μB.
Element x y z (fractional)
I: 0.0000 0.0000 0.5000  0.05
Re: 0.0000 0.0000 0.0000  -0.05
Sb: 0.5000 0.0000 0.0000  -0.04
Sb: 0.0000 0.5000 0.0000  -0.04
Mn: 0.5000 0.5000 0.5000  4.50